Entry 1:
{
  "formula": "Fe2NCl2",
  "functional": "meta-GGA SCAN",
  "state": "single point on PBEsol structure",
  "cell": [[-0.2838, -4.5284, -0.0314], [3.7095, -0.2505, 2.6009], [-4.4563, 2.5342, 2.6420]],
  "species": ["Fe", "Fe", "Cl", "Cl", "N"],
  "frac_coords": [[0.1682, 0.1682, 0.3364], [0.8318, 0.8318, 0.6636], [0.7500, 0.2500, 0.5000], [0.2500, 0.7500, 0.5000], [0.0000, 0.0000, 0.0000]],
  "formation_energy_uncorrected_ev_per_atom": -0.044,
  "total_energy_ev_per_atom": -12.3450,
  "sg": "I4/mmm, No. 139"
}


Entry 2:
{
  "formula": "NbFeN2Cl",
  "functional": "meta-GGA SCAN",
  "state": "single point on PBEsol structure",
  "cell": [[-0.1520, -3.5136, 1.0767], [3.2974, 0.3453, 1.5923], [-1.8639, 1.1847, 3.6030]],
  "species": ["Fe", "Nb", "N", "N", "Cl"],
  "frac_coords": [[0.0000, 0.0000, 0.0000], [0.5000, 0.5000, 0.5000], [0.5000, 0.0000, 0.0000], [0.0000, 0.5000, 0.0000], [0.0000, 0.0000, 0.5000]],
  "formation_energy_uncorrected_ev_per_atom": 0.799,
  "total_energy_ev_per_atom": -14.7646,
  "sg": "P4/mmm, No. 123"
}


Entry 3:
{
  "formula": "NbFeNCl2",
  "functional": "meta-GGA SCAN",
  "state": "single point on PBEsol structure",
  "cell": [[-1.1594, -3.2213, 2.3458], [-1.7319, -1.7929, -3.3181], [4.4319, -2.3535, -1.0416]],
  "species": ["Nb", "Fe", "N", "Cl", "Cl"],
  "frac_coords": [[0.0000, 0.0000, 0.5000], [0.0000, 0.0000, 0.0000], [0.5000, 0.5000, 0.5000], [0.0000, 0.5000, 0.0000], [0.5000, 0.0000, 0.0000]],
  "formation_energy_uncorrected_ev_per_atom": 1.016,
  "total_energy_ev_per_atom": -14.2851,
  "sg": "P4/mmm, No. 123"
}


Entry 4:
{
  "formula": "FeSiN2Cl",
  "functional": "meta-GGA SCAN",
  "state": "single point on PBEsol structure",
  "cell": [[3.8173, 0.0000, 0.0000], [0.0000, 3.8173, 0.0000], [0.0000, 0.0000, 4.2259]],
  "species": ["N", "N", "Si", "Fe", "Cl"],
  "frac_coords": [[0.5000, 0.0000, 0.0000], [0.0000, 0.5000, 0.0000], [0.5000, 0.5000, 0.5000], [0.0000, 0.0000, 0.5000], [0.0000, 0.0000, 0.0000]],
  "formation_energy_uncorrected_ev_per_atom": 2.336,
  "total_energy_ev_per_atom": -8.6054,
  "sg": "P4/mmm, No. 123"
}


Entry 5:
{
  "formula": "FeTe2NCl",
  "functional": "meta-GGA SCAN",
  "state": "single point on PBEsol structure",
  "cell": [[3.3490, 0.0000, 0.0000], [0.0000, 5.2849, 0.0000], [0.0000, 0.0000, 5.2849]],
  "species": ["Te", "Te", "Fe", "Cl", "N"],
  "frac_coords": [[0.0000, 0.0000, 0.5000], [0.0000, 0.5000, 0.0000], [0.0000, 0.0000, 0.0000], [0.5000, 0.5000, 0.5000], [0.5000, 0.0000, 0.0000]],
  "formation_energy_uncorrected_ev_per_atom": 0.307,
  "total_energy_ev_per_atom": -21.6732,
  "sg": "P4/mmm, No. 123"
}


Entry 6:
{
  "formula": "NaFeCl2",
  "functional": "meta-GGA SCAN",
  "state": "single point on PBEsol structure",
  "cell": [[3.4908, 0.0000, 0.0000], [1.7454, 3.0231, 0.0000], [1.7454, 1.0077, 8.3581]],
  "species": ["Cl", "Cl", "Na", "Fe"],
  "frac_coords": [[0.1109, 0.1109, 0.6672], [0.8891, 0.8891, 0.3328], [0.0000, 0.0000, 0.0000], [0.5000, 0.5000, 0.5000]],
  "formation_energy_uncorrected_ev_per_atom": -0.796,
  "total_energy_ev_per_atom": -10.3713,
  "sg": "R-3m, No. 166"
}


Entry 7:
{
  "formula": "Na2FeCl2",
  "functional": "meta-GGA SCAN",
  "state": "single point on PBEsol structure",
  "cell": [[5.0867, 0.0000, 0.0000], [0.0000, 5.0867, 0.0000], [-2.5434, -2.5434, 5.2209]],
  "species": ["Na", "Na", "Cl", "Cl", "Fe"],
  "frac_coords": [[0.6724, 0.6724, 0.3449], [0.3276, 0.3276, 0.6551], [0.2500, 0.7500, 0.5000], [0.7500, 0.2500, 0.5000], [0.0000, 0.0000, 0.0000]],
  "formation_energy_uncorrected_ev_per_atom": -0.621,
  "total_energy_ev_per_atom": -9.1242,
  "sg": "I4/mmm, No. 139"
}


Entry 8:
{
  "formula": "NaFeSCl2",
  "functional": "meta-GGA SCAN",
  "state": "single point on PBEsol structure",
  "cell": [[-3.4356, -2.6156, -2.0077], [3.2941, -2.5943, -2.2570], [0.1548, -3.1999, 3.9039]],
  "species": ["Fe", "Cl", "Cl", "S", "Na"],
  "frac_coords": [[0.5000, 0.5000, 0.5000], [0.0000, 0.5000, 0.0000], [0.5000, 0.0000, 0.0000], [0.0000, 0.0000, 0.5000], [0.0000, 0.0000, 0.0000]],
  "formation_energy_uncorrected_ev_per_atom": 0.142,
  "total_energy_ev_per_atom": -9.4441,
  "sg": "P4/mmm, No. 123"
}


Entry 9:
{
  "formula": "NaFeSnCl2",
  "functional": "meta-GGA SCAN",
  "state": "single point on PBEsol structure",
  "cell": [[-3.9352, 0.0061, 2.9933], [2.2093, -4.2627, 2.9133], [2.5843, 3.6563, 3.3900]],
  "species": ["Sn", "Na", "Cl", "Cl", "Fe"],
  "frac_coords": [[0.0000, 0.0000, 0.0000], [0.5000, 0.5000, 0.5000], [0.0000, 0.0000, 0.5000], [0.0000, 0.5000, 0.0000], [0.5000, 0.0000, 0.0000]],
  "formation_energy_uncorrected_ev_per_atom": -0.241,
  "total_energy_ev_per_atom": -15.0857,
  "sg": "P4/mmm, No. 123"
}


Entry 10:
{
  "formula": "NbFeCl3",
  "functional": "meta-GGA SCAN",
  "state": "single point on PBEsol structure",
  "cell": [[-0.7507, 1.1451, -4.4283], [4.3629, -1.1682, -1.0417], [-1.3734, -4.3369, -0.8886]],
  "species": ["Cl", "Cl", "Cl", "Fe", "Nb"],
  "frac_coords": [[0.0000, 0.5000, 0.0000], [0.5000, 0.0000, 0.0000], [0.0000, 0.0000, 0.5000], [0.0000, 0.0000, 0.0000], [0.5000, 0.5000, 0.5000]],
  "formation_energy_uncorrected_ev_per_atom": 0.035,
  "total_energy_ev_per_atom": -15.0033,
  "sg": "Pm-3m, No. 221"
}


Entry 11:
{
  "formula": "NbFeRe2Cl",
  "functional": "meta-GGA SCAN",
  "state": "single point on PBEsol structure",
  "cell": [[4.2094, 0.0000, 0.0000], [0.0000, 4.4462, 0.0000], [0.0000, 0.0000, 4.4462]],
  "species": ["Fe", "Nb", "Re", "Re", "Cl"],
  "frac_coords": [[0.0000, 0.0000, 0.0000], [0.5000, 0.5000, 0.5000], [0.0000, 0.5000, 0.0000], [0.0000, 0.0000, 0.5000], [0.5000, 0.0000, 0.0000]],
  "formation_energy_uncorrected_ev_per_atom": 1.654,
  "total_energy_ev_per_atom": -38.6323,
  "sg": "P4/mmm, No. 123"
}


Entry 12:
{
  "formula": "FeNi2Cl",
  "functional": "meta-GGA SCAN",
  "state": "single point on PBEsol structure",
  "cell": [[2.9620, 0.0000, 0.0000], [0.0000, 2.9620, 0.0000], [0.0000, 0.0000, 5.7741]],
  "species": ["Cl", "Fe", "Ni", "Ni"],
  "frac_coords": [[0.5000, 0.5000, 0.0000], [0.5000, 0.5000, 0.5000], [0.0000, 0.0000, 0.7138], [0.0000, 0.0000, 0.2862]],
  "formation_energy_uncorrected_ev_per_atom": 0.132,
  "total_energy_ev_per_atom": -14.4816,
  "sg": "P4/mmm, No. 123"
}


Entry 13:
{
  "formula": "FeNi2Cl",
  "functional": "meta-GGA SCAN",
  "state": "single point on PBEsol structure",
  "cell": [[2.8096, 0.0000, 0.0000], [0.0000, 3.0661, 0.0444], [0.0000, -0.0735, 6.2436]],
  "species": ["Ni", "Ni", "Fe", "Cl"],
  "frac_coords": [[0.5000, 0.4951, 0.1991], [0.0000, 0.9970, 0.9943], [0.5000, 0.4978, 0.8052], [0.0000, 0.5102, 0.5014]],
  "formation_energy_uncorrected_ev_per_atom": 0.061,
  "total_energy_ev_per_atom": -14.5521,
  "sg": "Pm, No. 6"
}


Entry 14:
{
  "formula": "FeNiCl2",
  "functional": "meta-GGA SCAN",
  "state": "single point on PBEsol structure",
  "cell": [[-2.0512, -1.7588, -1.9228], [-2.1990, -2.0663, 1.3759], [-6.3454, 4.1606, 0.1036]],
  "species": ["Cl", "Cl", "Ni", "Fe"],
  "frac_coords": [[0.7786, 0.7786, 0.6641], [0.9672, 0.9672, 0.0983], [0.2412, 0.2412, 0.2765], [0.5130, 0.5130, 0.4611]],
  "formation_energy_uncorrected_ev_per_atom": -0.424,
  "total_energy_ev_per_atom": -12.9883,
  "sg": "R3m, No. 160"
}


Entry 15:
{
  "formula": "FeNi2Cl",
  "functional": "meta-GGA SCAN",
  "state": "single point on PBEsol structure",
  "cell": [[3.6077, 0.0000, 0.0000], [0.0000, 3.6077, 0.0000], [-1.8038, -1.8038, 3.7329]],
  "species": ["Cl", "Ni", "Ni", "Fe"],
  "frac_coords": [[0.5000, 0.5000, 0.0000], [0.7500, 0.2500, 0.5000], [0.2500, 0.7500, 0.5000], [0.0000, 0.0000, 0.0000]],
  "formation_energy_uncorrected_ev_per_atom": 0.583,
  "total_energy_ev_per_atom": -14.0308,
  "sg": "I4/mmm, No. 139"
}


Entry 16:
{
  "formula": "Fe2ClO",
  "functional": "meta-GGA SCAN",
  "state": "single point on PBEsol structure",
  "cell": [[3.9930, 0.0000, 0.0000], [1.9965, 3.4580, 0.0000], [1.9965, 1.1527, 3.2603]],
  "species": ["Fe", "Fe", "O", "Cl"],
  "frac_coords": [[0.2500, 0.2500, 0.2500], [0.7500, 0.7500, 0.7500], [0.0000, 0.0000, 0.0000], [0.5000, 0.5000, 0.5000]],
  "formation_energy_uncorrected_ev_per_atom": -0.218,
  "total_energy_ev_per_atom": -12.8350,
  "sg": "Fm-3m, No. 225"
}


Entry 17:
{
  "formula": "FePCl2O",
  "functional": "meta-GGA SCAN",
  "state": "single point on PBEsol structure",
  "cell": [[-4.3682, -0.2278, 0.4431], [0.4966, -1.6742, 4.0348], [-0.0408, 4.1028, 1.7074]],
  "species": ["Cl", "Cl", "Fe", "O", "P"],
  "frac_coords": [[0.0000, 0.5000, 0.0000], [0.5000, 0.0000, 0.0000], [0.0000, 0.0000, 0.0000], [0.5000, 0.5000, 0.5000], [0.0000, 0.0000, 0.5000]],
  "formation_energy_uncorrected_ev_per_atom": 0.512,
  "total_energy_ev_per_atom": -9.6313,
  "sg": "P4/mmm, No. 123"
}


Entry 18:
{
  "formula": "Sr3Fe2Cl2O5",
  "functional": "meta-GGA SCAN",
  "state": "single point on PBEsol structure",
  "cell": [[3.8729, 0.0000, 0.0000], [0.0000, 3.8729, 0.0000], [-1.9365, -1.9365, 11.8367]],
  "species": ["Cl", "Cl", "O", "O", "O", "O", "O", "Sr", "Sr", "Sr", "Fe", "Fe"],
  "frac_coords": [[0.7957, 0.7957, 0.5914], [0.2043, 0.2043, 0.4086], [0.5872, 0.0872, 0.1744], [0.4128, 0.9128, 0.8256], [0.0872, 0.5872, 0.1744], [0.0000, 0.0000, 0.0000], [0.9128, 0.4128, 0.8256], [0.6551, 0.6551, 0.3101], [0.3449, 0.3449, 0.6899], [0.5000, 0.5000, 0.0000], [0.0791, 0.0791, 0.1582], [0.9209, 0.9209, 0.8418]],
  "formation_energy_uncorrected_ev_per_atom": -2.468,
  "total_energy_ev_per_atom": -14.9847,
  "sg": "I4/mmm, No. 139"
}


Entry 19:
{
  "formula": "Sr3Fe2Cl2O4",
  "functional": "meta-GGA SCAN",
  "state": "single point on PBEsol structure",
  "cell": [[-0.4755, 0.4152, 3.8577], [-0.3213, -3.8774, 0.3777], [11.4660, 0.9551, -0.6700]],
  "species": ["O", "O", "O", "O", "Fe", "Fe", "Sr", "Sr", "Sr", "Cl", "Cl"],
  "frac_coords": [[0.9237, 0.4237, 0.8475], [0.4237, 0.9237, 0.8475], [0.5763, 0.0763, 0.1525], [0.0763, 0.5763, 0.1525], [0.5699, 0.5699, 0.1399], [0.4301, 0.4301, 0.8601], [0.8490, 0.8490, 0.6979], [0.1510, 0.1510, 0.3021], [0.0000, 0.0000, 0.0000], [0.7032, 0.7032, 0.4065], [0.2968, 0.2968, 0.5935]],
  "formation_energy_uncorrected_ev_per_atom": -2.370,
  "total_energy_ev_per_atom": -15.4582,
  "sg": "I4/mmm, No. 139"
}


Entry 20:
{
  "formula": "Sr2FeClO3",
  "functional": "meta-GGA SCAN",
  "state": "single point on PBEsol structure",
  "cell": [[3.8748, 0.0000, 0.0000], [0.0000, 3.8748, 0.0000], [0.0000, 0.0000, 14.2813]],
  "species": ["Sr", "Sr", "Sr", "Sr", "Fe", "Fe", "O", "O", "O", "O", "O", "O", "Cl", "Cl"],
  "frac_coords": [[0.5000, 0.0000, 0.3439], [0.0000, 0.5000, 0.6561], [0.0000, 0.5000, 0.9035], [0.5000, 0.0000, 0.0965], [0.0000, 0.5000, 0.2083], [0.5000, 0.0000, 0.7917], [0.0000, 0.0000, 0.2292], [0.5000, 0.5000, 0.7708], [0.5000, 0.0000, 0.9251], [0.5000, 0.5000, 0.2292], [0.0000, 0.5000, 0.0749], [0.0000, 0.0000, 0.7708], [0.0000, 0.5000, 0.4255], [0.5000, 0.0000, 0.5745]],
  "formation_energy_uncorrected_ev_per_atom": -2.595,
  "total_energy_ev_per_atom": -15.3599,
  "sg": "P4/nmm, No. 129"
}